No. 1
# SCAN Sr2CoAg, single point on PBEsol structure
data_Sr2CoAg
_space_group_name_H-M_alt 'A m m 2'
_space_group_IT_number 38
_space_group_name_Hall 'A 2 -2'
_cell_length_a 4.376
_cell_length_b 4.433
_cell_length_c 11.275
_cell_angle_alpha 90.00
_cell_angle_beta 90.00
_cell_angle_gamma 90.00
loop_
_atom_site_label
_atom_site_fract_x
_atom_site_fract_y
_atom_site_fract_z
Sr1 0.000 0.000 0.000
Sr2 0.500 0.000 0.285
Co1 0.500 0.000 0.587
Ag1 0.000 0.000 0.701
# Total energy (eV per cell): -185.952

No. 2
# SCAN SrCoAg2, single point on PBEsol structure
data_SrCoAg2
_space_group_name_H-M_alt 'P 4 m m'
_space_group_IT_number 99
_space_group_name_Hall 'P 4 -2'
_cell_length_a 3.401
_cell_length_b 3.401
_cell_length_c 6.817
_cell_angle_alpha 90.00
_cell_angle_beta 90.00
_cell_angle_gamma 90.00
loop_
_atom_site_label
_atom_site_fract_x
_atom_site_fract_y
_atom_site_fract_z
Sr1 0.000 0.000 0.000
Co1 0.500 0.500 0.702
Ag1 0.000 0.000 0.536
Ag2 0.500 0.500 0.318
# Relative energy among the computed polymorphs (meV per atom): 0